1.
VASP calculation (GGA-PBE) on an optimized crystal structure of CaTc3Ir.

The space group is Pm-3m (No. 221) and the conventional cell measures 4.458, 4.458 and 4.458 Å, with angles of 90.00, 90.00 and 90.00 degrees. Symmetry generates all atoms from Ca at (0.000, 0.000, 0.000), Tc at (0.000, 0.000, 0.500) and Ir at (0.500, 0.500, 0.500).

Its total energy is -0.2112 hartree per atom. The energy of formation from the pure elements is 2.65 eV per atom. Its volume is 17.715 Å³/atom. As for the spin magnetization: 0.00 μB per cell. The density of states at the Fermi level comes out at 1.50 states/eV/atom.

2.
VASP calculation (GGA-PBE) on an optimized crystal structure of NdY3Ag2.

The space group is P4/mmm (No. 123) and the conventional cell measures 3.644, 3.644 and 12.438 Å, with angles of 90.00, 90.00 and 90.00 degrees. Symmetry generates all atoms from Nd at (0.000, 0.000, 0.000), Y at (0.500, 0.500, 0.207), Y at (0.500, 0.500, 0.500) and Ag at (0.000, 0.000, 0.352).

Its total energy is -0.1904 hartree per atom. The energy of formation from the pure elements is -0.21 eV per atom. Its volume is 27.523 Å³/atom. As for the spin magnetization: 0.00 μB per cell. The density of states at the Fermi level comes out at 1.11 states/eV/atom.

3.
VASP calculation (GGA-PBE) on an optimized crystal structure of LaInPt.

The space group is F-43m (No. 216) and the conventional cell measures 7.089, 7.089 and 7.089 Å, with angles of 90.00, 90.00 and 90.00 degrees. Symmetry generates all atoms from La at (0.000, 0.000, 0.000), In at (0.250, 0.250, 0.750) and Pt at (0.250, 0.250, 0.250).

Its total energy is -0.1751 hartree per atom. The energy of formation from the pure elements is -0.20 eV per atom. Its volume is 29.686 Å³/atom. As for the spin magnetization: 0.00 μB per cell. The density of states at the Fermi level comes out at 0.87 states/eV/atom.

4.
VASP calculation (GGA-PBE) on an optimized crystal structure of PuZrNiRh.

The space group is F-43m (No. 216) and the conventional cell measures 6.670, 6.670 and 6.670 Å, with angles of 90.00, 90.00 and 90.00 degrees. Symmetry generates all atoms from Pu at (0.000, 0.000, 0.000), Zr at (0.000, 0.000, 0.500), Ni at (0.250, 0.250, 0.750) and Rh at (0.250, 0.250, 0.250).

Its total energy is -0.3425 hartree per atom. The energy of formation from the pure elements is -0.32 eV per atom. Its volume is 18.545 Å³/atom. As for the spin magnetization: 21.66 μB per cell. The density of states at the Fermi level comes out at 2.89 states/eV/atom.

5.
VASP calculation (GGA-PBE) on an optimized crystal structure of Sr3LaNi.

The space group is Pm-3m (No. 221) and the conventional cell measures 5.920, 5.920 and 5.920 Å, with angles of 90.00, 90.00 and 90.00 degrees. Symmetry generates all atoms from Sr at (0.000, 0.000, 0.500), La at (0.500, 0.500, 0.500) and Ni at (0.000, 0.000, 0.000).

Its total energy is -0.1091 hartree per atom. The energy of formation from the pure elements is 0.18 eV per atom. Its volume is 41.495 Å³/atom. As for the spin magnetization: 0.00 μB per cell. The density of states at the Fermi level comes out at 1.04 states/eV/atom.

6.
VASP calculation (GGA-PBE) on an optimized crystal structure of BaCaTc2.

The space group is Cmmm (No. 65) and the conventional cell measures 5.684, 10.311 and 3.048 Å, with angles of 90.00, 90.00 and 90.00 degrees. Symmetry generates all atoms from Ba at (0.000, 0.000, 0.000), Ca at (0.000, 0.500, 0.000) and Tc at (0.250, 0.250, 0.500).

Its total energy is -0.1835 hartree per atom. The energy of formation from the pure elements is 1.17 eV per atom. Its volume is 22.328 Å³/atom. As for the spin magnetization: 0.00 μB per cell. The density of states at the Fermi level comes out at 1.24 states/eV/atom.